Entry 1:
V2ReRu | Alexandria via LeMat-Bulk | PBE-GGA | relaxed; formation energy from the elements = -0.3135 eV per atom
1.0
-2.4572 -0.2708 -1.7405
0.7734 -2.8499 -0.6484
-3.1723 -1.9487 4.7818
V Ru Re
2 1 1
Direct
0.0000 0.0000 0.2456 V
0.0000 0.0000 0.7544 V
0.5000 0.5000 0.5000 Ru
0.5000 0.5000 0.0000 Re

=====

Entry 2:
V4ReRu | Alexandria via LeMat-Bulk | PBE-GGA | relaxed; formation energy from the elements = -0.3330 eV per atom
1.0
0.4095 -3.6279 -2.1824
-1.2963 -2.1889 3.3955
-4.5006 2.1754 -0.3158
V Re Ru
4 1 1
Direct
0.3319 0.0000 0.6638 V
0.1676 0.5000 0.3352 V
0.6681 0.0000 0.3362 V
0.8324 0.5000 0.6648 V
0.0000 0.0000 0.0000 Re
0.5000 0.5000 0.0000 Ru

=====

| no. | D(E_F) (states/eV per cell) | energy relative to the lowest polymorph listed for this composition (meV per atom) | magnetic moment (μB/f.u.) |
| --- | --- | --- | --- |
| 1 | 3.5 | 0.0 | 0.000 |
| 2 | 2.8 | 0.0 | 0.000 |